# 1
Ti3VCd (PBE, relaxed); volume = 97 Å³/cell; total magnetization = 0.35 μB per cell; density of states at the Fermi level = 1.5437 states/eV/atom; formation energy from the elements = 612 meV per atom
1.0
4.6018 0.0000 0.0000
0.0000 4.6018 0.0000
0.0000 0.0000 4.6018
Ti Cd V
3 1 1
direct
0.5000 0.0000 0.0000
0.0000 0.0000 0.5000
0.0000 0.5000 0.0000
0.5000 0.5000 0.5000
0.0000 0.0000 0.0000


# 2
SmErGaPb (PBE, relaxed); volume = 105 Å³/cell; total magnetization = 0.00 μB per cell; density of states at the Fermi level = 0.6711 states/eV/atom; formation energy from the elements = -426 meV per atom
1.0
5.3027 0.0000 0.0000
2.6513 4.5922 0.0000
2.6513 1.5307 4.3296
Pb Ga Sm Er
1 1 1 1
direct
0.5000 0.5000 0.5000
0.0000 0.0000 0.0000
0.7500 0.7500 0.7500
0.2500 0.2500 0.2500


# 3
BaTa2Mn (PBE, relaxed); volume = 86 Å³/cell; total magnetization = 0.38 μB per cell; density of states at the Fermi level = 1.3024 states/eV/atom; excess energy over the best structure of this formula in the dataset = 46 meV per atom; formation energy from the elements = 619 meV per atom
1.0
-0.7801 -1.6486 2.5994
0.8808 -2.6898 -1.4396
7.9602 0.9914 3.0179
Ba Ta Mn
1 2 1
direct
0.5000 0.5000 0.2500
0.0000 0.0000 0.9117
0.0000 0.0000 0.5883
0.5000 0.5000 0.7500


# 4
NaSb2HI (PBE, relaxed); volume = 187 Å³/cell; total magnetization = 0.38 μB per cell; density of states at the Fermi level = 0.9392 states/eV/atom; excess energy over the best structure of this formula in the dataset = 990 meV per atom
1.0
-0.1700 -5.6056 0.1542
2.4790 0.0632 5.0325
-5.3205 0.2333 2.6180
Na Sb H I
1 2 1 1
direct
0.0000 0.0000 0.0000
0.5000 0.0000 0.0000
0.0000 0.5000 0.0000
0.5000 0.5000 0.5000
0.0000 0.0000 0.5000


- total magnetization of number 4 (NaSb2HI)?
  0.38 μB per cell


- What is the formula in the second record?
  SmErGaPb


- The lowest total magnetization belongs to which entry?
  SmErGaPb


- Which value of density of states at the Fermi level does entry 3 give?
  1.3024 states/eV/atom